Density functional theory data (PBE with a Hubbard U) for ErWO4 after structural relaxation.

Results
DOS(E_F) = 0.000 states/eV/atom
M_tot = 1.00 μB/f.u.
E = -48.1 eV per cell
ρ = 8.60 g/cm³

Cell and atoms, written as POSCAR:
```
ErWO4
1.0
3.318 0.000 0.000
0.000 4.914 0.073
0.000 0.082 4.914
W O Er
1 4 1
Cartesian
1.659 0.000 0.000
0.000 4.100 4.093
3.318 0.896 0.895
1.659 1.450 3.543
1.659 3.546 1.444
0.000 2.498 2.494
```